Density functional theory data (PBE) for a geometry-optimized Rb2YSbOs structure.

Properties
DOS at the Fermi energy in states/eV/cell: 2.76
Electronic total energy in eV per atom: -3.180

CIF file:
```
data_Rb2YSbOs
_cell_length_a 7.501
_cell_length_b 7.501
_cell_length_c 5.650
_cell_angle_alpha 90.00
_cell_angle_beta 90.00
_cell_angle_gamma 90.00
_space_group_name_H-M_alt 'P 4/m m m'
_space_group_IT_number 123
_space_group_name_Hall '-P 4 2'
loop_
_atom_site_label
_atom_site_type_symbol
_atom_site_fract_x
_atom_site_fract_y
_atom_site_fract_z
_atom_site_occupancy
Rb1 Rb 0.000 0.500 0.000 1
Y1 Y 0.000 0.000 0.000 1
Sb1 Sb 0.000 0.000 0.500 1
Os1 Os 0.500 0.500 0.500 1
```